DFT (PBE with a Hubbard U) results for a relaxed Li4Ti3Nb2Fe3O16 crystal.

Summary:
total magnetization = 0.14 μB per atom
electronic total energy = -7.545 eV/atom

Cell lengths 5.970, 6.022, 9.840 Å; angles 90.10, 90.00, 119.71 degrees
Element x y z (fractional)
Li (0.336, 0.671, 0.097)
Li (0.996, 0.991, 0.015)
Li (0.000, 0.999, 0.504)
Li (0.668, 0.336, 0.591)
Ti (0.822, 0.644, 0.266)
Ti (0.155, 0.807, 0.780)
Ti (0.652, 0.807, 0.780)
Nb (0.336, 0.672, 0.498)
Nb (0.647, 0.293, 0.013)
Fe (0.168, 0.336, 0.790)
Fe (0.343, 0.177, 0.291)
Fe (0.835, 0.177, 0.291)
O (0.481, 0.962, 0.667)
O (0.348, 0.696, 0.894)
O (0.990, 0.980, 0.694)
O (0.993, 0.987, 0.202)
O (0.833, 0.665, 0.897)
O (0.171, 0.342, 0.417)
O (0.684, 0.368, 0.393)
O (0.520, 0.040, 0.151)
O (0.171, 0.834, 0.410)
O (0.663, 0.834, 0.410)
O (0.038, 0.534, 0.660)
O (0.496, 0.534, 0.660)
O (0.529, 0.497, 0.152)
O (0.969, 0.497, 0.152)
O (0.329, 0.157, 0.909)
O (0.827, 0.157, 0.909)